Crystalline NdMgAu4 at its relaxed geometry. Source: the Open Quantum Materials Database, functional GGA-PBE.

Geometry as extended XYZ:
```
6
Lattice="2.802 1.618 4.564 -2.802 1.618 4.564 0.000 -3.235 4.564" Properties=species:S:1:pos:R:3 pbc="T T T"
Au 1.408 0.813 7.417
Au -1.408 0.813 7.417
Au 0.000 0.000 5.125
Au 0.000 -1.625 7.417
Mg 0.000 0.000 0.008
Nd 0.000 0.000 10.270
```

Results
- Total magnetic moment: 0.00 μB per atom
- Density: 12.80 g/cm3
- Electronic total energy: -3.738 eV per atom

=====

Crystalline Dy2HoIn3Ir2 at its relaxed geometry. Source: the Open Quantum Materials Database, functional GGA-PBE.

Geometry as extended XYZ:
```
8
Lattice="3.648 0.000 0.000 0.000 6.599 3.811 0.000 -6.599 3.811" Properties=species:S:1:pos:R:3 pbc="T T T"
Dy 0.000 2.784 1.608
Dy 0.000 -2.784 1.608
Ho 0.000 0.000 4.406
In 1.824 5.052 2.917
In 1.824 0.000 1.788
In 1.824 -5.052 2.917
Ir 1.824 2.199 3.811
Ir 1.824 -2.199 3.811
```

Results
- Total magnetic moment: 0.00 μB per atom
- Density: 11.03 g/cm3
- Electronic total energy: -5.612 eV per atom